# Ta2CoO

Ta2CoO after structural relaxation (PBE with a Hubbard U, the Alexandria database).

Total magnetic moment in μB per formula unit: 0.00
E_tot in eV per atom: -8.649

Cell and atoms, written as CIF:
```
data_Ta2CoO
_chemical_formula_sum 'Ta8 Co4 O4'
_space_group_name_H-M_alt 'I -4 2 d'
_space_group_IT_number 122
_space_group_name_Hall 'I -4 2bw'
_cell_length_a 4.836
_cell_length_b 4.836
_cell_length_c 10.821
_cell_angle_alpha 90.00
_cell_angle_beta 90.00
_cell_angle_gamma 90.00
loop_
_atom_site_label
_atom_site_fract_x
_atom_site_fract_y
_atom_site_fract_z
Ta1 0.200 0.250 0.125
Co1 0.000 0.000 0.500
O1 0.000 0.000 0.000
```